Record 1
LaZr2Cr: relaxed, PBE.

The structure belongs to space group Imm2 (No. 44); the cell edges are 3.535, 5.102 and 10.147 Å and the angles 90.00°, 90.00° and 90.00°. Symmetry generates all atoms from La at (0.000, 0.000, 0.000), Zr at (0.000, 0.000, 0.577), Zr at (0.000, 0.500, 0.782) and Cr at (0.000, 0.500, 0.270).

Record 2
MgSnHg4: relaxed, PBE.

The structure belongs to space group F-43m (No. 216); the cell edges are 8.507, 8.507 and 8.507 Å and the angles 90.00°, 90.00° and 90.00°. Symmetry generates all atoms from Mg at (0.000, 0.000, 0.000), Sn at (0.250, 0.250, 0.750) and Hg at (0.125, 0.125, 0.375).

Computed uncorrected energy (eV per cell) in order:
-60.42; -24.46
Computed theoretical density (g/cm³) in order:
6.8; 10.2
Computed energy above the most stable polymorph in this dataset (eV/atom) in order:
0.1587; 0.1177